(1)
Material: HfSnPd2Pb
Method: DFT, GGA-PBE
State: relaxed

Geometry as extended XYZ:
```
5
Lattice="4.999 0.000 0.000 0.000 5.443 0.000 0.000 0.000 4.999" Properties=species:S:1:pos:R:3 pbc="T T T"
Hf 0.000 2.721 0.000
Sn 2.499 2.721 2.499
Pd 0.000 0.000 2.499
Pb 0.000 0.000 0.000
Pd 2.499 0.000 0.000
```

Calculated values
- D(E_F) (states/eV/atom) = 0.77
- DFT formation energy (kJ per mole of atoms) = 70.74
- calculated volume (Å³/atom) = 27.20



(2)
Material: Gd2P7Rh12
Method: DFT, GGA-PBE
State: relaxed

Geometry as extended XYZ:
```
21
Lattice="-0.005 7.406 6.125 -5.450 0.302 -7.910 -2.932 -1.622 1.959" Properties=species:S:1:pos:R:3 pbc="T T T"
P -4.420 1.021 0.033
P -1.466 -0.811 0.979
Gd -4.014 3.825 2.912
P -1.364 2.635 2.026
Rh -5.575 3.056 -0.042
Rh -5.368 5.323 -1.702
Rh -5.583 0.978 -5.623
Rh -7.290 1.890 -3.575
P -2.286 6.221 3.615
P -7.024 3.451 -1.852
Rh -2.158 0.491 -0.898
P -6.102 -0.135 -3.441
Rh -1.097 4.196 3.748
Rh -4.645 -0.588 -1.667
Rh -2.804 5.109 5.796
Rh -3.743 6.675 1.840
Rh -6.230 5.595 1.071
Rh -3.020 0.764 1.876
Rh -2.813 3.031 0.215
P -3.967 5.065 0.140
Gd -4.374 2.262 -2.738
```

Calculated values
- D(E_F) (states/eV/atom) = 0.72
- DFT formation energy (kJ per mole of atoms) = -89.43
- calculated volume (Å³/atom) = 14.78



(3)
Material: Sb8Cl2O11
Method: DFT, GGA-PBE
State: relaxed

Geometry as extended XYZ:
```
42
Lattice="-1.777 -3.477 1.592 5.060 -6.411 -8.356 15.410 -3.890 8.706" Properties=species:S:1:pos:R:3 pbc="T T T"
O 4.631 -7.435 -4.193
Sb 10.291 -7.073 6.800
Sb 5.816 -7.069 -2.617
Sb 5.822 -3.491 -0.377
Cl 4.049 -4.008 -3.511
Cl 7.597 -6.537 0.510
Cl 14.644 -9.770 5.453
O -0.889 -1.739 0.796
Sb 12.870 -10.288 2.319
Sb 8.402 -4.544 1.867
O 3.965 -5.454 -6.482
Sb 15.985 -6.726 6.329
Sb 8.401 -6.705 -4.858
Sb 15.348 -10.133 0.174
Cl 11.095 -7.241 1.431
O 14.301 -11.472 1.459
Sb 2.707 -7.052 -4.387
O 1.721 -3.165 0.687
O 14.061 -6.343 6.135
Sb 3.344 -3.645 1.768
Sb 10.863 -8.825 -3.579
Sb 7.830 -4.953 5.521
O 16.971 -10.613 1.255
O 6.833 -3.464 1.354
O 10.125 -6.988 -3.867
O 14.727 -8.324 8.424
Sb 12.876 -6.709 4.559
O 11.404 -5.605 5.455
Sb -0.123 -3.493 1.389
O 11.859 -10.314 0.588
O 14.276 -8.921 1.360
O 8.567 -6.790 5.809
O 7.288 -8.174 -3.513
O 11.101 -8.512 -1.620
Sb 10.290 -9.235 0.075
O 4.417 -4.857 0.582
Sb 18.815 -10.285 0.553
O 11.447 -8.120 5.538
O 7.245 -5.658 -3.597
O 7.591 -5.266 3.562
O 4.391 -2.307 0.483
O 7.705 -1.945 4.353
```

Calculated values
- D(E_F) (states/eV/atom) = 0.00
- polymorph energy (0 for the lowest one) (meV per atom) = 68
- calculated volume (Å³/atom) = 21.04



(4)
Material: Pr8Dy6Mg
Method: DFT, GGA-PBE
State: relaxed

Geometry as extended XYZ:
```
15
Lattice="-5.722 -3.211 0.462 -0.548 -0.378 -9.409 4.276 -6.933 4.758" Properties=species:S:1:pos:R:3 pbc="T T T"
Dy -3.733 -3.044 -5.367
Pr -2.281 -7.526 0.435
Pr 1.557 -5.939 -5.510
Dy -0.083 -4.206 1.362
Dy -2.545 -4.709 -2.224
Mg -2.861 -1.606 0.231
Dy 0.551 -5.813 -1.965
Pr 0.287 -2.997 -4.625
Pr -0.147 -2.313 -1.400
Pr -1.848 -8.209 -2.789
Pr -1.253 -1.134 -6.907
Pr -3.551 -4.583 1.320
Dy -1.911 -6.317 -5.552
Dy 1.739 -7.478 1.177
Pr -0.741 -9.389 2.717
```

Calculated values
- D(E_F) (states/eV/atom) = 1.45
- DFT formation energy (kJ per mole of atoms) = 12.73
- calculated volume (Å³/atom) = 33.79



(5)
Material: BaReS2
Method: DFT, GGA-PBE
State: relaxed

Geometry as extended XYZ:
```
4
Lattice="0.000 3.435 3.435 3.435 0.000 3.435 3.435 3.435 0.000" Properties=species:S:1:pos:R:3 pbc="T T T"
Re 3.435 3.435 3.435
S 1.718 1.718 1.718
Ba 0.000 0.000 0.000
S 5.153 5.153 5.153
```

Calculated values
- D(E_F) (states/eV/atom) = 0.47
- polymorph energy (0 for the lowest one) (meV per atom) = 340
- calculated volume (Å³/atom) = 20.27



(6)
Material: Cs2CaSn2S4
Method: DFT, GGA-PBE
State: relaxed

Geometry as extended XYZ:
```
9
Lattice="-0.675 -3.920 -0.968 4.129 3.375 -7.889 5.199 -2.495 6.479" Properties=species:S:1:pos:R:3 pbc="T T T"
S 4.616 0.833 -6.590
Sn 7.496 -1.510 0.888
S 6.202 -2.980 -0.910
Cs 4.866 -2.004 -3.931
Cs 3.787 -1.035 1.552
Ca 0.000 0.000 0.000
S 4.037 -3.873 4.212
S 2.452 -0.059 -1.469
Sn 1.158 -1.530 -3.267
```

Calculated values
- final energy (eV per atom) = -4.239
- calculated volume (Å³/atom) = 32.35



(7)
Material: Ca2CeBe2O6
Method: DFT, GGA-PBE
State: relaxed

Geometry as extended XYZ:
```
11
Lattice="-2.788 -0.554 4.626 1.871 -4.393 -2.585 5.025 0.334 3.069" Properties=species:S:1:pos:R:3 pbc="T T T"
O 3.732 -1.536 2.810
Ce 0.000 0.000 0.000
Be 4.409 -2.842 2.317
O -0.889 -1.767 4.228
Be -0.301 -1.772 2.793
O 0.376 -3.077 2.299
O 3.869 -4.184 2.875
Ca 2.186 -2.989 0.960
Ca 1.921 -1.624 4.150
O 4.997 -2.846 0.882
O 0.239 -0.429 2.235
```

Calculated values
- D(E_F) (states/eV/atom) = 0.00
- final energy (eV per atom) = -7.089
- calculated volume (Å³/atom) = 13.69



(8)
Material: TbSc3Al8
Method: DFT, GGA-PBE
State: relaxed

Geometry as extended XYZ:
```
12
Lattice="5.409 0.000 0.000 2.704 4.684 0.000 2.704 1.561 8.880" Properties=species:S:1:pos:R:3 pbc="T T T"
Al 5.409 4.688 1.627
Tb 8.113 4.684 3.332
Al 8.113 3.118 6.137
Al 6.764 2.340 1.627
Sc 2.704 1.561 8.859
Al 2.704 1.561 3.894
Sc 5.409 3.123 7.755
Al 8.113 4.684 8.318
Al 4.053 2.340 1.627
Sc 5.409 3.123 4.490
Al 6.756 5.467 6.137
Al 9.469 5.467 6.137
```

Calculated values
- D(E_F) (states/eV/atom) = 0.75
- DFT formation energy (kJ per mole of atoms) = -47.06
- polymorph energy (0 for the lowest one) (meV per atom) = 0
- calculated volume (Å³/atom) = 18.75



| no. | magnetic moment (μB/f.u.) |
| --- | --- |
| 1 | 0.000 |
| 2 | 14.128 |
| 3 | 0.000 |
| 4 | 0.001 |
| 5 | 1.000 |
| 6 | 0.000 |
| 7 | 0.000 |
| 8 | 0.000 |